# CaCe2F8 | the Alexandria database | PBE | relaxed
data_CaCe2F8
_chemical_formula_sum 'Ca1 Ce2 F8'
_cell_length_a 4.305
_cell_length_b 6.699
_cell_length_c 6.699
_cell_angle_alpha 69.03
_cell_angle_beta 105.68
_cell_angle_gamma 105.68
_symmetry_space_group_name_H-M 'P 1'
_symmetry_Int_Tables_number 1
loop_
_symmetry_equiv_pos_as_xyz
'x,y,z'
loop_
_atom_site_label
_atom_site_type_symbol
_atom_site_fract_x
_atom_site_fract_y
_atom_site_fract_z
Ca1 Ca 0.000 0.000 0.000
Ce1 Ce 0.409 0.675 0.675
Ce2 Ce 0.591 0.325 0.325
F1 F 0.375 0.321 0.929
F2 F 0.625 0.071 0.679
F3 F 0.044 0.800 0.800
F4 F 0.956 0.200 0.200
F5 F 0.375 0.929 0.321
F6 F 0.625 0.679 0.071
F7 F 0.806 0.561 0.561
F8 F 0.194 0.439 0.439
# Formation energy from raw total energies   -43.2 eV per formula unit

***

# K2CaCeF6 | the Alexandria database | PBE | relaxed
data_K2CaCeF6
_chemical_formula_sum 'K2 Ca1 Ce1 F6'
_cell_length_a 6.599
_cell_length_b 6.598
_cell_length_c 6.602
_cell_angle_alpha 60.02
_cell_angle_beta 60.02
_cell_angle_gamma 90.05
_symmetry_space_group_name_H-M 'P 1'
_symmetry_Int_Tables_number 1
loop_
_symmetry_equiv_pos_as_xyz
'x,y,z'
loop_
_atom_site_label
_atom_site_type_symbol
_atom_site_fract_x
_atom_site_fract_y
_atom_site_fract_z
K1 K 0.250 0.750 0.500
K2 K 0.750 0.250 0.500
Ca1 Ca 0.000 0.000 0.000
Ce1 Ce 0.500 0.500 0.000
F1 F 0.246 0.754 0.000
F2 F 0.754 0.754 0.000
F3 F 0.246 0.246 0.508
F4 F 0.754 0.246 0.000
F5 F 0.246 0.246 0.000
F6 F 0.754 0.754 0.492
# Formation energy from raw total energies   -32.3 eV per formula unit

***

# K2Ca3CeF12 | the Alexandria database | PBE | relaxed
data_K2Ca3CeF12
_chemical_formula_sum 'K2 Ca3 Ce1 F12'
_cell_length_a 8.529
_cell_length_b 8.529
_cell_length_c 8.529
_cell_angle_alpha 56.07
_cell_angle_beta 56.07
_cell_angle_gamma 56.07
_symmetry_space_group_name_H-M 'P 1'
_symmetry_Int_Tables_number 1
loop_
_symmetry_equiv_pos_as_xyz
'x,y,z'
loop_
_atom_site_label
_atom_site_type_symbol
_atom_site_fract_x
_atom_site_fract_y
_atom_site_fract_z
K1 K 0.576 0.576 0.576
K2 K 0.424 0.424 0.424
Ca1 Ca 0.500 0.000 0.000
Ca2 Ca 0.000 0.500 0.000
Ca3 Ca 0.000 0.000 0.500
Ce1 Ce 0.000 0.000 0.000
F1 F 0.335 0.335 0.907
F2 F 0.936 0.936 0.310
F3 F 0.310 0.936 0.936
F4 F 0.907 0.335 0.335
F5 F 0.936 0.310 0.936
F6 F 0.335 0.907 0.335
F7 F 0.665 0.665 0.093
F8 F 0.064 0.064 0.690
F9 F 0.690 0.064 0.064
F10 F 0.093 0.665 0.665
F11 F 0.064 0.690 0.064
F12 F 0.665 0.093 0.665
# Formation energy from raw total energies   -63.9 eV per formula unit

***

# LiCaCeF6 | the Alexandria database | PBE | relaxed
data_LiCaCeF6
_chemical_formula_sum 'Li2 Ca2 Ce2 F12'
_cell_length_a 5.663
_cell_length_b 5.663
_cell_length_c 9.836
_cell_angle_alpha 90.00
_cell_angle_beta 90.00
_cell_angle_gamma 120.00
_symmetry_space_group_name_H-M 'P 1'
_symmetry_Int_Tables_number 1
loop_
_symmetry_equiv_pos_as_xyz
'x,y,z'
loop_
_atom_site_label
_atom_site_type_symbol
_atom_site_fract_x
_atom_site_fract_y
_atom_site_fract_z
Li1 Li 0.333 0.667 0.250
Li2 Li 0.667 0.333 0.750
Ca1 Ca 0.000 0.000 0.000
Ca2 Ca 0.000 0.000 0.500
Ce1 Ce 0.667 0.333 0.250
Ce2 Ce 0.333 0.667 0.750
F1 F 0.652 0.680 0.132
F2 F 0.027 0.348 0.132
F3 F 0.348 0.027 0.632
F4 F 0.973 0.652 0.868
F5 F 0.320 0.348 0.368
F6 F 0.027 0.680 0.368
F7 F 0.680 0.027 0.868
F8 F 0.652 0.973 0.368
F9 F 0.973 0.320 0.632
F10 F 0.320 0.973 0.132
F11 F 0.680 0.652 0.632
F12 F 0.348 0.320 0.868
# Formation energy from raw total energies   -33.0 eV per formula unit

***

# NaCaCeF6 | the Alexandria database | PBE | relaxed
data_NaCaCeF6
_chemical_formula_sum 'Na2 Ca2 Ce2 F12'
_cell_length_a 5.972
_cell_length_b 5.972
_cell_length_c 9.683
_cell_angle_alpha 90.00
_cell_angle_beta 90.00
_cell_angle_gamma 120.00
_symmetry_space_group_name_H-M 'P 1'
_symmetry_Int_Tables_number 1
loop_
_symmetry_equiv_pos_as_xyz
'x,y,z'
loop_
_atom_site_label
_atom_site_type_symbol
_atom_site_fract_x
_atom_site_fract_y
_atom_site_fract_z
Na1 Na 0.333 0.667 0.250
Na2 Na 0.667 0.333 0.750
Ca1 Ca 0.000 0.000 0.000
Ca2 Ca 0.000 0.000 0.500
Ce1 Ce 0.667 0.333 0.250
Ce2 Ce 0.333 0.667 0.750
F1 F 0.677 0.673 0.129
F2 F 0.995 0.323 0.129
F3 F 0.323 0.995 0.629
F4 F 0.005 0.677 0.871
F5 F 0.327 0.323 0.371
F6 F 0.995 0.673 0.371
F7 F 0.673 0.995 0.871
F8 F 0.677 0.005 0.371
F9 F 0.005 0.327 0.629
F10 F 0.327 0.005 0.129
F11 F 0.673 0.677 0.629
F12 F 0.323 0.327 0.871
# Formation energy from raw total energies   -32.8 eV per formula unit

***

# RbCaCeF6 | the Alexandria database | PBE | relaxed
data_RbCaCeF6
_chemical_formula_sum 'Rb2 Ca2 Ce2 F12'
_cell_length_a 8.703
_cell_length_b 8.298
_cell_length_c 8.544
_cell_angle_alpha 119.05
_cell_angle_beta 120.62
_cell_angle_gamma 90.00
_symmetry_space_group_name_H-M 'P 1'
_symmetry_Int_Tables_number 1
loop_
_symmetry_equiv_pos_as_xyz
'x,y,z'
loop_
_atom_site_label
_atom_site_type_symbol
_atom_site_fract_x
_atom_site_fract_y
_atom_site_fract_z
Rb1 Rb 0.777 0.527 0.554
Rb2 Rb 0.223 0.473 0.446
Ca1 Ca 0.500 0.500 0.000
Ca2 Ca 0.500 0.000 0.000
Ce1 Ce 0.500 0.000 0.500
Ce2 Ce 0.000 0.000 0.500
F1 F 0.442 0.692 0.884
F2 F 0.822 0.072 0.644
F3 F 0.814 0.096 0.275
F4 F 0.460 0.679 0.275
F5 F 0.460 0.096 0.275
F6 F 0.814 0.679 0.275
F7 F 0.558 0.308 0.116
F8 F 0.178 0.928 0.356
F9 F 0.186 0.904 0.725
F10 F 0.540 0.321 0.725
F11 F 0.540 0.904 0.725
F12 F 0.186 0.321 0.725
# Formation energy from raw total energies   -32.7 eV per formula unit

***

# Rb2Ca3CeF12 | the Alexandria database | PBE | relaxed
data_Rb2Ca3CeF12
_chemical_formula_sum 'Rb2 Ca3 Ce1 F12'
_cell_length_a 8.521
_cell_length_b 8.521
_cell_length_c 8.521
_cell_angle_alpha 56.81
_cell_angle_beta 56.81
_cell_angle_gamma 56.81
_symmetry_space_group_name_H-M 'P 1'
_symmetry_Int_Tables_number 1
loop_
_symmetry_equiv_pos_as_xyz
'x,y,z'
loop_
_atom_site_label
_atom_site_type_symbol
_atom_site_fract_x
_atom_site_fract_y
_atom_site_fract_z
Rb1 Rb 0.582 0.582 0.582
Rb2 Rb 0.418 0.418 0.418
Ca1 Ca 0.500 0.000 0.000
Ca2 Ca 0.000 0.500 0.000
Ca3 Ca 0.000 0.000 0.500
Ce1 Ce 0.000 0.000 0.000
F1 F 0.330 0.330 0.911
F2 F 0.935 0.935 0.309
F3 F 0.309 0.935 0.935
F4 F 0.911 0.330 0.330
F5 F 0.935 0.309 0.935
F6 F 0.330 0.911 0.330
F7 F 0.670 0.670 0.089
F8 F 0.065 0.065 0.691
F9 F 0.691 0.065 0.065
F10 F 0.089 0.670 0.670
F11 F 0.065 0.691 0.065
F12 F 0.670 0.089 0.670
# Formation energy from raw total energies   -64.2 eV per formula unit

***

# Ca3CeTl2F12 | the Alexandria database | PBE | relaxed
data_Ca3CeTl2F12
_chemical_formula_sum 'Ca3 Ce1 Tl2 F12'
_cell_length_a 8.539
_cell_length_b 8.539
_cell_length_c 8.539
_cell_angle_alpha 56.10
_cell_angle_beta 56.10
_cell_angle_gamma 56.10
_symmetry_space_group_name_H-M 'P 1'
_symmetry_Int_Tables_number 1
loop_
_symmetry_equiv_pos_as_xyz
'x,y,z'
loop_
_atom_site_label
_atom_site_type_symbol
_atom_site_fract_x
_atom_site_fract_y
_atom_site_fract_z
Ca1 Ca 0.500 0.000 0.000
Ca2 Ca 0.000 0.500 0.000
Ca3 Ca 0.000 0.000 0.500
Ce1 Ce 0.000 0.000 0.000
Tl1 Tl 0.577 0.577 0.577
Tl2 Tl 0.423 0.423 0.423
F1 F 0.335 0.335 0.906
F2 F 0.062 0.062 0.691
F3 F 0.691 0.062 0.062
F4 F 0.906 0.335 0.335
F5 F 0.062 0.691 0.062
F6 F 0.335 0.906 0.335
F7 F 0.665 0.665 0.094
F8 F 0.938 0.938 0.309
F9 F 0.309 0.938 0.938
F10 F 0.094 0.665 0.665
F11 F 0.938 0.309 0.938
F12 F 0.665 0.094 0.665
# Formation energy from raw total energies   -60.1 eV per formula unit

***

# CaCe3Fe | the Alexandria database | PBE | relaxed
data_CaCe3Fe
_chemical_formula_sum 'Ca1 Ce3 Fe1'
_cell_length_a 5.270
_cell_length_b 5.270
_cell_length_c 5.270
_cell_angle_alpha 90.00
_cell_angle_beta 90.00
_cell_angle_gamma 90.00
_symmetry_space_group_name_H-M 'P 1'
_symmetry_Int_Tables_number 1
loop_
_symmetry_equiv_pos_as_xyz
'x,y,z'
loop_
_atom_site_label
_atom_site_type_symbol
_atom_site_fract_x
_atom_site_fract_y
_atom_site_fract_z
Ca1 Ca 0.500 0.500 0.500
Fe1 Fe 0.000 0.000 0.000
Ce1 Ce 0.000 0.500 0.000
Ce2 Ce 0.000 0.000 0.500
Ce3 Ce 0.500 0.000 0.000
# Formation energy from the elements   111 meV/atom

***

# CaCeFe | the Alexandria database | PBE | relaxed
data_CaCeFe
_chemical_formula_sum 'Ca2 Ce2 Fe2'
_cell_length_a 5.786
_cell_length_b 6.560
_cell_length_c 5.683
_cell_angle_alpha 68.36
_cell_angle_beta 85.64
_cell_angle_gamma 59.32
_symmetry_space_group_name_H-M 'P 1'
_symmetry_Int_Tables_number 1
loop_
_symmetry_equiv_pos_as_xyz
'x,y,z'
loop_
_atom_site_label
_atom_site_type_symbol
_atom_site_fract_x
_atom_site_fract_y
_atom_site_fract_z
Fe1 Fe 0.462 0.626 0.634
Fe2 Fe 0.538 0.374 0.366
Ca1 Ca 0.885 0.764 0.605
Ca2 Ca 0.115 0.236 0.395
Ce1 Ce 0.616 0.264 0.912
Ce2 Ce 0.384 0.736 0.088
# Formation energy from the elements   87 meV/atom

***

| no. | E (Ry/atom) | total magnetization (μB/atom) |
| --- | --- | --- |
| 1 | -0.4814 | 0.182 |
| 2 | -0.3947 | 0.132 |
| 3 | -0.4104 | 0.010 |
| 4 | -0.4418 | 0.111 |
| 5 | -0.4352 | 0.111 |
| 6 | -0.4318 | 0.111 |
| 7 | -0.4107 | 0.009 |
| 8 | -0.4053 | 0.012 |
| 9 | -0.4073 | 0.412 |
| 10 | -0.3953 | 0.000 |